Record 1
A plane-wave DFT calculation with GGA-PBE was carried out for a relaxed Mg4Ag3Pt crystal.

a = 9.1339 Å, b = 6.8237 Å, c = 4.5682 Å
α = 90.00°, β = 90.00°, γ = 90.00°
With the nearest neighbours (Å) after each atom.
Space group Pmma (No. 51)
Asymmetric unit:
Mg (0.0000, 0.2384, 0.0000) [4 per cell]  6 Ag 2.80-2.90, 2 Pt 2.80
Mg (0.2500, 0.2383, 0.4986) [4 per cell]  6 Ag 2.80-2.90, 2 Pt 2.80
Ag (0.0000, 0.5000, 0.5000) [2 per cell]  8 Mg 2.90, 4 Ag 3.23
Ag (0.2500, 0.0000, 0.9985) [2 per cell]  8 Mg 2.80
Ag (0.2500, 0.5000, 0.9986) [2 per cell]  8 Mg 2.90, 4 Ag 3.23
Pt (0.0000, 0.0000, 0.5000) [2 per cell]  8 Mg 2.80

For the uncorrected energy, the calculation gives -3.02 eV/atom. The calculation puts the energy relative to the elements at -0.403 eV per atom.

***

Record 2
A plane-wave DFT calculation with GGA-PBE was carried out for a relaxed Hf2Ti2As3 crystal.

a = 5.5736 Å, b = 6.4912 Å, c = 7.0814 Å
α = 90.00°, β = 97.26°, γ = 90.00°
With the nearest neighbours (Å) after each atom.
Space group P2_1/c (No. 14)
Asymmetric unit:
Hf (0.1257, 0.1392, 0.3422) [4 per cell]  4 As 2.60-2.80
Ti (0.3718, 0.6995, 0.4948) [4 per cell]  5 As 2.45-2.64
As (0.0000, 0.0000, 0.0000) [2 per cell]  2 Ti 2.45, 4 Hf 2.60-2.72
As (0.3845, 0.0418, 0.6962) [4 per cell]  4 Ti 2.63-2.64, 2 Hf 2.80

For the uncorrected energy, the calculation gives -7.84 eV/atom. The calculation puts the energy relative to the elements at -0.743 eV per atom.